## CuMoW2 (GGA-PBE)

Data for a relaxed CuMoW2 crystal.

Structure (POSCAR):
```
CuMoW2
1.0
-2.655 2.839 2.251
0.440 -1.373 2.251
4.144 2.601 1.607
Cu Mo W
1 1 2
Cartesian
-0.182 1.726 2.090
2.110 2.340 4.019
0.010 0.005 0.005
2.282 0.609 1.924
```

Calculated values
- VASP energy: -39.84 eV per cell
- Polymorph energy (0 for the lowest one): 0.081 eV per atom
- Formation enthalpy at 0 K: 0.25 eV/atom


## CuMo2W (GGA-PBE)

Data for a relaxed CuMo2W crystal.

Structure (POSCAR):
```
CuMo2W
1.0
2.694 -0.006 0.000
-0.778 2.580 0.000
0.000 0.000 8.719
Cu Mo W
1 2 1
Cartesian
0.958 1.287 6.535
0.000 0.000 8.659
0.958 1.287 2.178
0.000 0.000 4.425
```

Calculated values
- VASP energy: -38.09 eV per cell
- Polymorph energy (0 for the lowest one): 0.020 eV per atom
- Formation enthalpy at 0 K: 0.16 eV/atom


## CuMo2W (GGA-PBE)

Data for a relaxed CuMo2W crystal.

Structure (POSCAR):
```
CuMo2W
1.0
-3.546 -3.761 -0.459
4.630 -1.300 2.137
-0.675 -0.258 2.557
Cu Mo W
1 2 1
Cartesian
-2.110 -2.010 1.049
0.000 0.000 0.000
1.978 -0.779 2.347
0.542 -2.531 0.839
```

Calculated values
- VASP energy: -37.82 eV per cell
- Polymorph energy (0 for the lowest one): 0.088 eV per atom
- Formation enthalpy at 0 K: 0.22 eV/atom


Look up the polymorph energy (0 for the lowest one) of the third one.
0.088 eV per atom